Compound: CdMoAu2
Source: Alexandria via LeMat-Bulk
Functional: PBE
Structure: relaxed

```
4
Lattice="-4.827 -8.360 -1.716 -3.123 -9.281 0.482 -5.660 -7.935 1.060" Properties=species:S:1:pos:R:3 pbc="T T T"
Mo -10.208 -19.182 -0.130
Cd -3.403 -6.394 -0.043
Au -6.753 -12.690 -0.086
Au -0.052 -0.097 -0.001
```

Compound: CdMoAu2
Source: Alexandria via LeMat-Bulk
Functional: PBE
Structure: relaxed

```
4
Lattice="-2.485 4.191 1.485 -2.220 -2.643 3.745 2.122 0.650 1.717" Properties=species:S:1:pos:R:3 pbc="T T T"
Au -2.352 0.774 2.615
Au 0.000 0.000 0.000
Mo -0.049 -0.997 2.731
Cd -0.181 2.420 1.601
```

Compound: CdMoAu2
Source: Alexandria via LeMat-Bulk
Functional: PBE
Structure: relaxed

```
4
Lattice="-2.486 -1.016 -0.886 1.405 -3.906 0.536 -2.055 0.045 5.712" Properties=species:S:1:pos:R:3 pbc="T T T"
Mo -2.122 -2.426 4.220
Au -1.060 -2.449 1.269
Au -2.016 0.044 5.603
Cd -1.021 0.023 2.839
```

Compound: CdMo2Au2
Source: Alexandria via LeMat-Bulk
Functional: PBE
Structure: relaxed

Results
Polymorph energy (0 for the lowest one) = 0 meV per atom

```
10
Lattice="-7.002 -2.521 2.281 3.292 -3.722 5.991 -0.344 2.570 1.785" Properties=species:S:1:pos:R:3 pbc="T T T"
Mo -3.883 -1.903 1.992
Cd 0.000 0.000 0.000
Au -1.715 -0.204 2.739
Mo 0.587 -1.737 2.614
Au 0.768 -1.763 5.462
Cd -1.855 -3.121 4.136
Mo -4.297 -4.505 5.658
Au -2.339 -3.469 7.319
Mo 0.172 -4.340 6.281
Au -4.822 -1.909 4.596
```

Compound: CdMoAu2
Source: Alexandria via LeMat-Bulk
Functional: PBE
Structure: relaxed

```
4
Lattice="5.887 -0.005 -0.006 3.029 5.048 0.006 -3.699 -3.862 2.460" Properties=species:S:1:pos:R:3 pbc="T T T"
Au 8.870 5.017 0.000
Au 1.867 1.838 1.233
Cd 4.471 2.529 0.000
Mo 3.383 -0.639 1.227
```

Compound: Cd4MoAu
Source: Alexandria via LeMat-Bulk
Functional: PBE
Structure: relaxed

```
6
Lattice="0.000 3.970 3.970 3.970 0.000 3.970 3.970 3.970 0.000" Properties=species:S:1:pos:R:3 pbc="T T T"
Cd 4.962 2.978 4.962
Cd 4.962 4.962 2.978
Cd 2.978 4.962 4.962
Mo 5.955 5.955 5.955
Au 0.000 0.000 0.000
Cd 2.978 2.978 2.978
```

Record order is preserved below.
Energy of formation from the pure elements: 0.6; 1.0; 1.1; 2.3; 1.1; 3.2 eV/f.u.